! Tb2PmPr5 | Alexandria via LeMat-Bulk | PBE-GGA | optimized geometry; values from VASP
! final energy = -0.3473 Ry/atom
! excess energy over the best structure of this formula in the dataset = 0 kJ/mol of formula units
! formation energy = 0.013 eV/atom
! symmetry = Pbam
&SYSTEM
  ibrav = 0, nat = 16, ntyp = 3
/
ATOMIC_SPECIES
Tb 158.93 Tb.upf
Pm 145.00 Pm.upf
Pr 140.91 Pr.upf
ATOMIC_POSITIONS angstrom
Tb 1.830 1.825 0.000
Tb 1.834 9.155 0.000
Tb 5.494 5.505 0.000
Tb 5.499 12.835 0.000
Pm 0.000 0.000 2.595
Pm 3.664 7.330 2.595
Pr 7.328 3.656 2.595
Pr 0.000 7.330 2.595
Pr 0.000 11.003 2.595
Pr 1.828 12.834 0.000
Pr 1.836 5.504 0.000
Pr 3.664 0.000 2.595
Pr 3.664 3.673 2.595
Pr 3.665 10.986 2.595
Pr 5.492 9.155 0.000
Pr 5.501 1.826 0.000
CELL_PARAMETERS angstrom
7.328 0.000 0.000
0.000 14.660 0.000
0.000 0.000 5.190

***

! LiLaPt2 | Alexandria via LeMat-Bulk | PBE-GGA | optimized geometry; values from VASP
! final energy = -0.3907 Ry/atom
! formation energy = -0.585 eV/atom
! symmetry = I-42d
&SYSTEM
  ibrav = 0, nat = 8, ntyp = 3
/
ATOMIC_SPECIES
Li 6.94 Li.upf
La 138.91 La.upf
Pt 195.08 Pt.upf
ATOMIC_POSITIONS angstrom
Li 0.000 0.000 0.000
Li 0.000 2.412 3.992
La 2.412 0.000 3.992
La 0.000 0.000 7.983
Pt 0.449 1.206 1.996
Pt -1.206 1.962 5.987
Pt -0.449 3.618 1.996
Pt 1.206 2.861 5.987
CELL_PARAMETERS angstrom
-2.412 2.412 7.983
2.412 -2.412 7.983
2.412 2.412 -7.983

***

! Tl2PbBr | Alexandria via LeMat-Bulk | PBE-GGA | optimized geometry; values from VASP
! formation energy (no corrections) = -0.21 eV per atom
! final energy = -0.2012 Ry/atom
! excess energy over the best structure of this formula in the dataset = 26 kJ/mol of formula units
! symmetry = Cmm2
&SYSTEM
  ibrav = 0, nat = 4, ntyp = 3
/
ATOMIC_SPECIES
Tl 204.38 Tl.upf
Pb 207.20 Pb.upf
Br 79.90 Br.upf
ATOMIC_POSITIONS angstrom
Tl 0.000 0.000 0.000
Tl 2.595 0.000 2.588
Pb 0.000 0.000 4.869
Br 2.595 0.000 7.364
CELL_PARAMETERS angstrom
2.595 -2.602 0.000
2.595 2.602 0.000
0.000 0.000 9.367

***

! CeO2 | Alexandria via LeMat-Bulk | PBE-GGA | optimized geometry; values from VASP
! formation energy (no corrections) = -3.46 eV per atom
! final energy = -0.6427 Ry/atom
! symmetry = Fm-3m
&SYSTEM
  ibrav = 0, nat = 3, ntyp = 2
/
ATOMIC_SPECIES
Ce 140.12 Ce.upf
O 16.00 O.upf
ATOMIC_POSITIONS angstrom
Ce 0.000 0.000 0.000
O 1.366 1.366 1.366
O 4.097 4.097 4.097
CELL_PARAMETERS angstrom
0.000 2.731 2.731
2.731 0.000 2.731
2.731 2.731 0.000

***

The records above yield calculated volume values of 34.8 23.2 31.6 13.6 Å³/atom, respectively.